(1)
Material: Nb3CoO
Method: DFT, GGA+U
State: optimized geometry

Summary:
space group: Pm-3m, No. 221
calculated total energy: -8.4888 eV/atom
crystal system: cubic

Unit cell a=4.2351 b=4.2351 c=4.2351 alpha=90.00 beta=90.00 gamma=90.00
Last column: magnetic moment on the atom in μB.
Positions (direct):
O 0.0000 0.0000 0.0000  0.01
Nb 0.5000 0.0000 0.0000  0.12
Nb 0.0000 0.0000 0.5000  0.10
Nb 0.0000 0.5000 0.0000  0.09
Co 0.5000 0.5000 0.5000  2.12

(2)
Material: MgCoPdF6
Method: DFT, GGA+U
State: optimized geometry

Summary:
space group: P-31c, No. 163
calculated total energy: -4.7947 eV/atom
crystal system: trigonal

Unit cell a=5.3108 b=5.3108 c=9.2304 alpha=90.00 beta=90.00 gamma=120.00
Last column: magnetic moment on the atom in μB.
Positions (direct):
F 0.3460 0.3525 0.8658  0.09
F 0.6540 0.6475 0.1342  0.09
F 0.6475 0.6540 0.6342  0.09
F 0.9935 0.6475 0.3658  0.09
F 0.6540 0.0065 0.3658  0.09
F 0.3460 0.9935 0.6342  0.09
F 0.3525 0.0065 0.1342  0.09
F 0.3525 0.3460 0.3658  0.09
F 0.9935 0.3460 0.1342  0.09
F 0.0065 0.3525 0.6342  0.09
F 0.0065 0.6540 0.8658  0.09
F 0.6475 0.9935 0.8658  0.09
Pd 0.0000 0.0000 0.0000  1.47
Pd 0.0000 0.0000 0.5000  1.47
Co 0.6667 0.3333 0.7500  2.79
Co 0.3333 0.6667 0.2500  2.79
Mg 0.3333 0.6667 0.7500  0.00
Mg 0.6667 0.3333 0.2500  0.00

Q: The highest calculated total energy belongs to which entry?
A: MgCoPdF6

Q: Number 2 is which compound?
A: MgCoPdF6

Q: What is the calculated total energy in the second record?
A: -4.7947 eV/atom

Repeat the first record exactly.
Material: Nb3CoO
Method: DFT, GGA+U
State: optimized geometry

Summary:
space group: Pm-3m, No. 221
calculated total energy: -8.4888 eV/atom
crystal system: cubic

Unit cell a=4.2351 b=4.2351 c=4.2351 alpha=90.00 beta=90.00 gamma=90.00
Last column: magnetic moment on the atom in μB.
Positions (direct):
O 0.0000 0.0000 0.0000  0.01
Nb 0.5000 0.0000 0.0000  0.12
Nb 0.0000 0.0000 0.5000  0.10
Nb 0.0000 0.5000 0.0000  0.09
Co 0.5000 0.5000 0.5000  2.12